# 1
Material: RbUCu2S6
Method: DFT, PBE
State: relaxed

Lattice parameters (Å, degrees): 7.896 8.871 8.871 110.40 74.32 74.32
Site moments in Bohr magnetons follow the coordinates.
Element x y z (fractional)
U1 0.250 0.335 0.665  1.20
Cu1 0.109 0.401 0.322  -0.03
Rb1 0.250 0.903 0.097  0.00
S1 0.873 0.408 0.799  -0.02
S2 0.127 0.592 0.201  -0.02
S3 0.627 0.201 0.592  -0.02
Cu2 0.391 0.678 0.599  -0.03
S4 0.318 0.380 0.952  -0.02
S5 0.182 0.048 0.620  -0.02
U2 0.750 0.665 0.335  1.20
S6 0.682 0.620 0.048  -0.02
S7 0.375 0.246 0.330  -0.03
Rb2 0.750 0.097 0.903  0.00
S8 0.125 0.670 0.754  -0.03
Cu3 0.891 0.599 0.678  -0.03
S9 0.373 0.799 0.408  -0.02
S10 0.875 0.330 0.246  -0.03
S11 0.625 0.754 0.670  -0.03
S12 0.818 0.952 0.380  -0.02
Cu4 0.609 0.322 0.401  -0.03

Values from the calculation:
SG: C2/c


# 2
Material: Rb2U2CuS6
Method: DFT, PBE
State: relaxed

Lattice parameters (Å, degrees): 7.197 7.197 8.047 96.35 96.35 125.86
Site moments in Bohr magnetons follow the coordinates.
Element x y z (fractional)
S1 0.954 0.564 0.305  -0.06
S2 0.752 0.752 0.653  -0.05
S3 0.436 0.046 0.695  -0.06
Rb1 0.146 0.854 0.000  0.00
S4 0.248 0.248 0.347  -0.05
Rb2 0.854 0.146 0.000  0.00
U1 0.338 0.662 0.500  1.67
S5 0.046 0.436 0.695  -0.06
S6 0.564 0.954 0.305  -0.06
Cu1 0.000 0.000 0.500  -0.04
U2 0.662 0.338 0.500  1.67

Values from the calculation:
SG: C2/m


# 3
Material: Rb3U3CuS8
Method: DFT, PBE
State: relaxed

Lattice parameters (Å, degrees): 8.315 7.830 8.763 113.43 90.00 122.07
Site moments in Bohr magnetons follow the coordinates.
Element x y z (fractional)
S1 0.253 0.944 0.701  -0.07
S2 0.804 0.607 0.342  -0.05
U1 0.500 0.500 0.500  2.07
S3 0.691 0.944 0.701  -0.07
S4 0.309 0.056 0.299  -0.07
Rb1 0.000 0.000 0.000  0.00
S5 0.196 0.393 0.658  -0.05
Rb2 0.500 0.500 0.000  0.00
S6 0.268 0.535 0.306  -0.05
Cu1 0.000 0.000 0.500  -0.05
U2 0.500 0.000 0.500  2.01
S7 0.747 0.056 0.299  -0.07
Rb3 0.000 0.500 0.000  0.00
S8 0.732 0.465 0.694  -0.05
U3 0.000 0.500 0.500  2.07

Values from the calculation:
SG: C2/m


# 4
Material: Rb2UCu2S4
Method: DFT, PBE
State: relaxed

Lattice parameters (Å, degrees): 3.981 7.856 7.520 108.39 105.35 90.00
Site moments in Bohr magnetons follow the coordinates.
Element x y z (fractional)
S1 0.196 0.160 0.393  -0.03
S2 0.804 0.840 0.607  -0.03
Rb1 0.863 0.437 0.726  0.00
Cu1 0.321 0.016 0.641  -0.03
S3 0.478 0.223 0.956  -0.04
Cu2 0.679 0.984 0.359  -0.03
U1 0.000 0.000 0.000  2.08
Rb2 0.137 0.563 0.274  0.00
S4 0.522 0.777 0.044  -0.04

Values from the calculation:
SG: C2/m


# 5
Material: Rb3U2CuS9
Method: DFT, PBE
State: relaxed

Lattice parameters (Å, degrees): 7.158 7.158 8.714 90.00 90.00 120.00
Site moments in Bohr magnetons follow the coordinates.
Element x y z (fractional)
S1 0.163 0.327 0.336  0.05
U1 0.667 0.333 0.815  0.09
Cu1 0.000 0.000 0.500  0.29
S2 0.837 0.163 0.664  0.05
S3 0.837 0.673 0.664  0.05
U2 0.333 0.667 0.185  0.09
S4 0.000 0.500 0.000  0.00
S5 0.500 0.500 0.000  0.00
Rb1 0.667 0.333 0.335  0.00
S6 0.500 0.000 0.000  0.00
S7 0.673 0.837 0.336  0.05
Rb2 0.333 0.667 0.665  0.00
Rb3 0.000 0.000 0.000  0.00
S8 0.327 0.163 0.664  0.05
S9 0.163 0.837 0.336  0.05

Values from the calculation:
SG: P-3m1


# 6
Material: RbU2CuS5
Method: DFT, PBE
State: relaxed

Lattice parameters (Å, degrees): 7.595 7.595 8.726 115.80 115.80 90.00
Site moments in Bohr magnetons follow the coordinates.
Element x y z (fractional)
S1 0.233 0.019 0.752  -0.07
S2 0.519 0.733 0.752  -0.07
Rb1 0.750 0.750 0.500  0.00
S3 0.500 0.500 0.000  -0.08
U1 0.663 0.163 0.000  2.07
U2 0.837 0.663 0.000  2.07
Rb2 0.250 0.250 0.500  0.00
S4 0.767 0.981 0.248  -0.07
S5 0.981 0.481 0.248  -0.07
S6 0.267 0.767 0.248  -0.07
S7 0.481 0.267 0.248  -0.07
Cu1 0.750 0.250 0.500  -0.05
S8 0.733 0.233 0.752  -0.07
Cu2 0.250 0.750 0.500  -0.05
S9 0.019 0.519 0.752  -0.07
U3 0.163 0.337 0.000  2.07
S10 0.000 0.000 0.000  -0.08
U4 0.337 0.837 0.000  2.07

Values from the calculation:
SG: I4/mcm


# 7
Material: RbU2CuS6
Method: DFT, PBE
State: relaxed

Lattice parameters (Å, degrees): 7.951 9.633 9.633 103.32 75.35 75.35
Site moments in Bohr magnetons follow the coordinates.
Element x y z (fractional)
U1 0.354 0.718 0.538  1.29
S1 0.988 0.346 0.820  -0.09
S2 0.529 0.554 0.680  -0.06
S3 0.512 0.180 0.654  -0.09
Rb1 0.250 0.898 0.102  0.00
S4 0.779 0.056 0.238  -0.08
Rb2 0.750 0.102 0.898  0.00
S5 0.721 0.762 0.944  -0.08
S6 0.279 0.238 0.056  -0.08
S7 0.488 0.820 0.346  -0.09
S8 0.029 0.680 0.554  -0.06
S9 0.221 0.944 0.762  -0.08
U2 0.646 0.282 0.462  1.29
U3 0.854 0.538 0.718  1.29
S10 0.012 0.654 0.180  -0.09
S11 0.471 0.446 0.320  -0.06
Cu1 0.250 0.181 0.819  -0.13
S12 0.971 0.320 0.446  -0.06
Cu2 0.750 0.819 0.181  -0.13
U4 0.146 0.462 0.282  1.29

Values from the calculation:
SG: C2/c


# 8
Material: Rb3U2CuS6
Method: DFT, PBE
State: relaxed

Lattice parameters (Å, degrees): 7.217 7.217 7.885 97.22 97.22 124.13
Site moments in Bohr magnetons follow the coordinates.
Element x y z (fractional)
U1 0.665 0.335 0.000  2.07
S1 0.435 0.059 0.204  -0.06
U2 0.335 0.665 0.000  2.07
S2 0.565 0.941 0.796  -0.06
S3 0.248 0.248 0.841  -0.05
S4 0.059 0.435 0.204  -0.06
Rb1 0.500 0.500 0.500  0.00
Cu1 0.000 0.000 0.000  -0.03
Rb2 0.152 0.848 0.500  0.00
Rb3 0.848 0.152 0.500  0.00
S5 0.941 0.565 0.796  -0.06
S6 0.752 0.752 0.159  -0.05

Values from the calculation:
SG: C2/m


# 9
Material: RbVCu2S4
Method: DFT, PBE
State: relaxed

Lattice parameters (Å, degrees): 6.301 6.301 6.301 121.08 121.08 88.13
Element x y z (fractional)
V1 0.000 0.000 0.000
S1 0.347 0.964 0.000
Rb1 0.500 0.500 0.000
S2 0.036 0.036 0.383
Cu1 0.250 0.750 0.500
S3 0.964 0.347 0.000
Cu2 0.750 0.250 0.500
S4 0.653 0.653 0.617

Values from the calculation:
Distance to the lowest polymorph of the same formula, eV/f.u.: 1.87
SG: I-42m


# 10
Material: RbVCu2S4
Method: DFT, PBE
State: relaxed

Lattice parameters (Å, degrees): 9.704 9.704 7.507 90.00 90.00 147.51
Element x y z (fractional)
Cu1 0.999 0.207 0.250
Cu2 0.618 0.618 0.500
V1 0.498 0.709 0.250
S1 0.567 0.168 0.750
Rb1 0.175 0.541 0.750
S2 0.943 0.732 0.989
S3 0.732 0.943 0.489
S4 0.168 0.567 0.250
S5 0.943 0.732 0.511
S6 0.732 0.943 0.011
Cu3 0.618 0.618 0.000
Cu4 0.207 0.999 0.750
S7 0.364 0.377 0.250
V2 0.709 0.498 0.750
S8 0.377 0.364 0.750
Rb2 0.541 0.175 0.250

Values from the calculation:
Distance to the lowest polymorph of the same formula, eV/f.u.: 0.00
SG: Ama2


# 11
Material: RbVCu2S
Method: DFT, PBE
State: relaxed

Lattice parameters (Å, degrees): 4.918 4.918 5.665 90.00 90.00 90.00
Site moments in Bohr magnetons follow the coordinates.
Element x y z (fractional)
S1 0.000 0.000 0.500  0.01
Rb1 0.000 0.000 0.000  0.01
Cu1 0.500 0.000 0.000  0.01
V1 0.500 0.500 0.500  -0.38
Cu2 0.000 0.500 0.000  0.01

Values from the calculation:
SG: P4/mmm


# 12
Material: RbCuWS4
Method: DFT, PBE
State: relaxed

Lattice parameters (Å, degrees): 5.494 7.580 9.998 90.00 106.11 90.00
Element x y z (fractional)
S1 0.905 0.511 0.283
Rb1 0.338 0.250 0.155
S2 0.720 0.250 0.910
S3 0.531 0.250 0.533
Cu1 0.640 0.750 0.282
W1 0.138 0.750 0.280
S4 0.469 0.750 0.467
S5 0.095 0.011 0.717
S6 0.280 0.750 0.090
W2 0.862 0.250 0.720
Cu2 0.360 0.250 0.718
S7 0.095 0.489 0.717
S8 0.905 0.989 0.283
Rb2 0.662 0.750 0.845

Values from the calculation:
SG: P2_1/m


Asked for energy relative to the elements, uncorrected across the records above, the calculation gives -0.61; -1.17; -1.22; -1.04; -0.97; -1.21; -0.90; -1.16; -0.61; -0.84; 2.02; -0.73 eV per atom in order.